Record 1
# Na2Sn2Pt

Na2Sn2Pt after structural relaxation (PBE, Alexandria via LeMat-Bulk).

Lattice parameters (Å, degrees): 6.9757 6.9757 5.2048 90.00 90.00 90.00
Space group P4/mbm (No. 127)
Inequivalent atoms, fractional coordinates:
Na 0.1738 0.3262 0.0000
Sn 0.1460 0.6460 0.5000
Pt 0.0000 0.0000 0.5000

---

Record 2
# NaSn4Pt6

NaSn4Pt6 after structural relaxation (PBE, Alexandria via LeMat-Bulk).

Lattice parameters (Å, degrees): 6.8555 6.8555 10.0479 90.00 90.00 90.00
Space group I-42m (No. 121)
Inequivalent atoms, fractional coordinates:
Na 0.0000 0.0000 0.0000
Sn 0.2099 0.2099 0.6705
Pt 0.0000 0.5000 0.0000
Pt 0.1679 0.1679 0.3976

---

| no. | energy (eV per atom) |
| --- | --- |
| 1 | -3.66 |
| 2 | -5.22 |